Material: Cs3FeSi
Method: DFT, GGA-PBEsol
State: optimized geometry

Cell and atoms, written as POSCAR:
```
Cs3FeSi
1.0
-2.833 -1.154 -5.413
0.855 -6.099 0.853
-5.468 -0.356 2.938
Cs Si Fe
3 1 1
Direct
0.000 0.500 0.000
0.000 0.000 0.500
0.500 0.000 0.000
0.500 0.500 0.500
0.000 0.000 0.000
```

Calculated values
**Volume**: 48.075 A^3/atom
**Calculated total energy**: -2.320 eV/atom
**Density**: 3.33 g cm⁻³
**M_tot**: 0.998 μB/atom
**Uncorrected formation energy**: 1.19 eV per atom